1.
Below is PrInPdRu after structural relaxation, with properties calculated at the PBE level.

The structure in CIF format:
```
data_PrInPdRu
_cell_length_a 4.851
_cell_length_b 4.851
_cell_length_c 4.851
_cell_angle_alpha 60.00
_cell_angle_beta 60.00
_cell_angle_gamma 60.00
_symmetry_space_group_name_H-M 'P 1'
_symmetry_Int_Tables_number 1
loop_
_symmetry_equiv_pos_as_xyz
'x,y,z'
loop_
_atom_site_label
_atom_site_type_symbol
_atom_site_fract_x
_atom_site_fract_y
_atom_site_fract_z
Pr1 Pr 0.500 0.500 0.500
Ru1 Ru 0.750 0.750 0.750
Pd1 Pd 0.250 0.250 0.250
In1 In 0.000 0.000 0.000
```

Results
E_tot in eV/cell: -23.3

=====

2.
Below is TaCrAg2 after structural relaxation, with properties calculated at the PBE level.

The structure in CIF format:
```
data_TaCrAg2
_cell_length_a 4.989
_cell_length_b 4.989
_cell_length_c 4.989
_cell_angle_alpha 132.09
_cell_angle_beta 132.09
_cell_angle_gamma 70.09
_symmetry_space_group_name_H-M 'P 1'
_symmetry_Int_Tables_number 1
loop_
_symmetry_equiv_pos_as_xyz
'x,y,z'
loop_
_atom_site_label
_atom_site_type_symbol
_atom_site_fract_x
_atom_site_fract_y
_atom_site_fract_z
Ag1 Ag 0.250 0.750 0.500
Ag2 Ag 0.000 0.000 0.000
Cr1 Cr 0.500 0.500 0.000
Ta1 Ta 0.750 0.250 0.500
```

Results
E_tot in eV/cell: -25.1
Energy above the most stable polymorph in this dataset in eV/atom: 0.2219

=====

3.
Below is Ac2HoRhO8 after structural relaxation, with properties calculated at the PBE level.

The structure in CIF format:
```
data_Ac2HoRhO8
_cell_length_a 5.667
_cell_length_b 5.667
_cell_length_c 6.210
_cell_angle_alpha 90.00
_cell_angle_beta 90.00
_cell_angle_gamma 120.00
_symmetry_space_group_name_H-M 'P 1'
_symmetry_Int_Tables_number 1
loop_
_symmetry_equiv_pos_as_xyz
'x,y,z'
loop_
_atom_site_label
_atom_site_type_symbol
_atom_site_fract_x
_atom_site_fract_y
_atom_site_fract_z
O1 O 0.684 0.842 0.195
O2 O 0.667 0.333 0.481
O3 O 0.842 0.684 0.805
O4 O 0.158 0.316 0.195
O5 O 0.316 0.158 0.805
O6 O 0.333 0.667 0.519
O7 O 0.158 0.842 0.195
O8 O 0.842 0.158 0.805
Ac1 Ac 0.333 0.667 0.863
Ac2 Ac 0.667 0.333 0.137
Ho1 Ho 0.000 0.000 0.500
Rh1 Rh 0.000 0.000 0.000
```

Results
E_tot in eV/cell: -82.3
Formation energy from raw total energies in meV per atom: -1877

=====

| no. | N(E_F) (states/eV/cell) | size of the total moment (μB per formula unit) |
| --- | --- | --- |
| 1 | 1.4 | 0.00 |
| 2 | 3.3 | 2.44 |
| 3 | 4.3 | 4.02 |